Entry from Alexandria via LeMat-Bulk: Ba2YTlFe2O7 after structural relaxation (PBE+U).

The structure belongs to space group P4/mmm (No. 123); the cell edges are 3.9742, 3.9742 and 12.6929 Å and the angles 90.00°, 90.00° and 90.00°. The asymmetric unit holds Ba at (0.0000, 0.0000, 0.2029), Y at (0.0000, 0.0000, 0.5000), Tl at (0.5000, 0.5000, 0.0000), Fe at (0.5000, 0.5000, 0.3650), O at (0.0000, 0.0000, 0.0000), O at (0.0000, 0.5000, 0.3870) and O at (0.5000, 0.5000, 0.1759).

The raw total energy is -0.2397 hartree per atom. The density of states at the Fermi level is 0.11 states/eV per atom.